Density functional theory data (SCAN) for SrCu2Br at its PBEsol-relaxed geometry.

abc: 3.520 3.520 7.015
angles: 90.00 90.00 90.00
Atoms (fractional coordinates):
Sr (0.000, 0.000, 0.000)
Cu (0.000, 0.000, 0.615)
Cu (0.500, 0.500, 0.667)
Br (0.500, 0.500, 0.248)

Results
Energy relative to the elements, uncorrected = -0.364 eV/atom
Total magnetic moment = 0.00 μB/atom
Space-group type = P4mm, No. 99